No. 1
Here is a relaxed YPuInRh crystal from Alexandria. Energies are from PBE.

a b c (Å): 5.113 5.113 5.113
angles (deg): 60.00 60.00 60.00
Site moments in Bohr magnetons follow the coordinates.
Positions (direct):
1 Y 0.750 0.750 0.750  0.03
2 In 0.000 0.000 0.000  -0.01
3 Rh 0.500 0.500 0.500  -0.23
4 Pu 0.250 0.250 0.250  5.25

Computed properties:
- Total energy: -32.1 eV per cell
- Space-group type: No. 216
- ΔE_f: -0.3089 eV per atom

***

No. 2
Here is a relaxed PuZnInRh crystal from Alexandria. Energies are from PBE.

a b c (Å): 4.809 4.809 4.809
angles (deg): 60.00 60.00 60.00
Site moments in Bohr magnetons follow the coordinates.
Positions (direct):
1 Zn 0.000 0.000 0.000  0.02
2 In 0.750 0.750 0.750  -0.01
3 Rh 0.500 0.500 0.500  -0.27
4 Pu 0.250 0.250 0.250  5.11

Computed properties:
- Total energy: -26.6 eV per cell
- Space-group type: No. 216
- ΔE_f: -0.2384 eV per atom

***

No. 3
Here is a relaxed Pu5InRu6 crystal from Alexandria. Energies are from PBE.

a b c (Å): 4.563 6.862 7.599
angles (deg): 90.00 72.53 90.00
Site moments in Bohr magnetons follow the coordinates.
Positions (direct):
1 Ru 0.834 0.760 0.333  0.04
2 Ru 0.834 0.240 0.333  0.04
3 Ru 0.500 0.270 0.000  0.40
4 Ru 0.500 0.730 0.000  0.40
5 Ru 0.166 0.760 0.667  0.04
6 Ru 0.166 0.240 0.667  0.04
7 In 0.000 0.000 0.000  -0.02
8 Pu 0.669 0.500 0.663  -4.75
9 Pu 0.338 0.000 0.323  4.62
10 Pu 0.000 0.500 0.000  -4.66
11 Pu 0.662 0.000 0.677  4.62
12 Pu 0.331 0.500 0.337  -4.75

Computed properties:
- Total energy: -130.6 eV per cell
- Space-group type: No. 65
- ΔE_f: -0.0486 eV per atom

***

No. 4
Here is a relaxed Pu4InRu2 crystal from Alexandria. Energies are from PBE.

a b c (Å): 7.484 7.484 7.484
angles (deg): 109.83 108.76 109.83
Site moments in Bohr magnetons follow the coordinates.
Positions (direct):
1 Pu 0.171 0.916 0.407  5.19
2 Pu 0.593 0.764 0.509  5.19
3 Pu 0.005 0.584 0.741  5.19
4 Pu 0.259 0.264 0.843  5.19
5 Pu 0.579 0.736 0.995  5.19
6 Pu 0.745 0.236 0.829  5.19
7 Pu 0.491 0.084 0.255  5.19
8 Pu 0.157 0.416 0.421  5.19
9 In 0.000 0.000 0.000  0.00
10 In 0.750 0.500 0.250  0.00
11 Ru 0.875 0.074 0.449  -0.68
12 Ru 0.551 0.426 0.625  -0.68
13 Ru 0.375 0.926 0.801  -0.68
14 Ru 0.199 0.574 0.125  -0.68

Computed properties:
- Total energy: -157.1 eV per cell
- Space-group type: No. 122
- ΔE_f: 0.0109 eV per atom

***

No. 5
Here is a relaxed Pu3InRu crystal from Alexandria. Energies are from PBE.

a b c (Å): 3.087 6.253 6.253
angles (deg): 120.00 90.00 90.00
Positions (direct):
1 Pu 0.500 0.125 0.875
2 Pu 0.500 0.750 0.875
3 Pu 0.500 0.125 0.250
4 In 0.000 0.667 0.333
5 Ru 0.000 0.333 0.667

Computed properties:
- Total energy: -53.4 eV per cell
- Space-group type: No. 187
- ΔE_f: 0.3228 eV per atom

***

No. 6
Here is a relaxed PuInRu2 crystal from Alexandria. Energies are from PBE.

a b c (Å): 3.339 3.339 6.495
angles (deg): 90.00 90.00 90.00
Site moments in Bohr magnetons follow the coordinates.
Positions (direct):
1 Ru 0.000 0.000 0.753  -0.50
2 Ru 0.000 0.000 0.247  -0.50
3 In 0.500 0.500 0.500  0.02
4 Pu 0.500 0.500 0.000  4.67

Computed properties:
- Total energy: -35.9 eV per cell
- Space-group type: No. 123
- ΔE_f: -0.0647 eV per atom

***

No. 7
Here is a relaxed PuInRu crystal from Alexandria. Energies are from PBE.

a b c (Å): 7.658 7.658 7.658
angles (deg): 100.00 100.00 100.00
Site moments in Bohr magnetons follow the coordinates.
Positions (direct):
1 Ru 0.310 0.612 0.138  -0.55
2 Ru 0.612 0.138 0.310  -0.55
3 Ru 0.138 0.310 0.612  -0.55
4 Ru 0.862 0.690 0.388  -0.55
5 Ru 0.388 0.862 0.690  -0.55
6 Ru 0.690 0.388 0.862  -0.55
7 Pu 0.544 0.396 0.173  4.93
8 Pu 0.604 0.827 0.456  4.93
9 Pu 0.827 0.456 0.604  4.93
10 Pu 0.173 0.544 0.396  4.93
11 Pu 0.396 0.173 0.544  4.93
12 Pu 0.456 0.604 0.827  4.93
13 In 0.067 0.301 0.956  0.00
14 In 0.699 0.044 0.933  0.00
15 In 0.044 0.933 0.699  0.00
16 In 0.956 0.067 0.301  0.00
17 In 0.301 0.956 0.067  0.00
18 In 0.933 0.699 0.044  0.00

Computed properties:
- Total energy: -157.3 eV per cell
- Space-group type: No. 148
- ΔE_f: 0.0453 eV per atom

***

No. 8
Here is a relaxed PuInRu crystal from Alexandria. Energies are from PBE.

a b c (Å): 3.165 6.445 6.443
angles (deg): 100.73 89.99 89.97
Site moments in Bohr magnetons follow the coordinates.
Positions (direct):
1 Pu 0.563 0.789 0.088  5.18
2 Pu 0.563 0.339 0.208  5.18
3 In 0.563 0.785 0.588  0.01
4 In 0.563 0.343 0.708  0.01
5 Ru 0.063 0.057 0.898  -0.46
6 Ru 0.063 0.071 0.398  -0.45

Computed properties:
- Total energy: -53.1 eV per cell
- Space-group type: No. 10
- ΔE_f: -0.0607 eV per atom

***

No. 9
Here is a relaxed Pu2In2Ru3 crystal from Alexandria. Energies are from PBE.

a b c (Å): 4.513 7.369 4.739
angles (deg): 71.24 90.01 107.93
Site moments in Bohr magnetons follow the coordinates.
Positions (direct):
1 Pu 0.624 0.249 0.875  4.86
2 Pu 0.376 0.751 0.125  4.86
3 In 0.881 0.762 0.619  0.01
4 In 0.119 0.238 0.381  0.01
5 Ru 0.000 0.000 0.000  -0.56
6 Ru 0.758 0.515 0.243  -0.52
7 Ru 0.242 0.485 0.757  -0.52

Computed properties:
- Total energy: -63.0 eV per cell
- Space-group type: No. 12
- ΔE_f: -0.1429 eV per atom

***

No. 10
Here is a relaxed PuInRu crystal from Alexandria. Energies are from PBE.

a b c (Å): 3.215 3.215 6.419
angles (deg): 104.50 104.50 90.00
Site moments in Bohr magnetons follow the coordinates.
Positions (direct):
1 Ru 0.669 0.669 0.337  -0.46
2 In 0.310 0.310 0.620  -0.01
3 Pu 0.021 0.021 0.043  5.08

Computed properties:
- Total energy: -26.6 eV per cell
- Space-group type: No. 107
- ΔE_f: -0.0991 eV per atom

***

No. 11
Here is a relaxed PuInRu2 crystal from Alexandria. Energies are from PBE.

a b c (Å): 3.520 4.514 4.514
angles (deg): 90.00 90.00 90.00
Site moments in Bohr magnetons follow the coordinates.
Positions (direct):
1 Ru 0.000 0.000 0.500  -0.57
2 Ru 0.000 0.500 0.000  -0.57
3 In 0.500 0.000 0.000  0.01
4 Pu 0.500 0.500 0.500  4.58

Computed properties:
- Total energy: -36.2 eV per cell
- Space-group type: No. 123
- ΔE_f: -0.1369 eV per atom

***

No. 12
Here is a relaxed PuIn5Ru crystal from Alexandria. Energies are from PBE.

a b c (Å): 4.675 4.675 7.528
angles (deg): 90.00 90.00 90.00
Site moments in Bohr magnetons follow the coordinates.
Positions (direct):
1 Pu 0.000 0.000 0.000  5.32
2 In 0.500 0.000 0.698  0.01
3 In 0.000 0.500 0.698  0.01
4 In 0.500 0.500 0.000  0.00
5 In 0.000 0.500 0.302  0.01
6 In 0.500 0.000 0.302  0.01
7 Ru 0.000 0.000 0.500  -0.12

Computed properties:
- Total energy: -38.6 eV per cell
- Space-group type: No. 123
- ΔE_f: -0.1828 eV per atom

***

No. 13
Here is a relaxed PuInRu4 crystal from Alexandria. Energies are from PBE.

a b c (Å): 5.271 5.271 5.271
angles (deg): 60.00 60.00 60.00
Site moments in Bohr magnetons follow the coordinates.
Positions (direct):
1 Ru 0.626 0.626 0.123  -0.53
2 Ru 0.626 0.123 0.626  -0.53
3 Ru 0.626 0.626 0.626  -0.53
4 Ru 0.123 0.626 0.626  -0.53
5 In 0.000 0.000 0.000  0.05
6 Pu 0.250 0.250 0.250  4.86

Computed properties:
- Total energy: -54.1 eV per cell
- Space-group type: No. 216
- ΔE_f: 0.0135 eV per atom

***

No. 14
Here is a relaxed Pu2InS crystal from Alexandria. Energies are from PBE.

a b c (Å): 3.343 3.343 8.322
angles (deg): 90.00 90.00 90.00
Site moments in Bohr magnetons follow the coordinates.
Positions (direct):
1 S 0.500 0.500 0.000  -0.13
2 In 0.500 0.500 0.500  -0.08
3 Pu 0.000 0.000 0.791  5.54
4 Pu 0.000 0.000 0.209  5.54

Computed properties:
- ΔE_f (raw): -0.7872 eV/atom
- Total energy: -38.7 eV per cell
- Space-group type: No. 123
- ΔE to the lowest computed polymorph: 0 meV/atom

***

No. 15
Here is a relaxed Pu2InS5 crystal from Alexandria. Energies are from PBE.

a b c (Å): 5.283 7.027 13.050
angles (deg): 90.00 90.00 112.08
Site moments in Bohr magnetons follow the coordinates.
Positions (direct):
1 Pu 0.854 0.709 0.439  4.76
2 Pu 0.854 0.709 0.061  4.76
3 Pu 0.146 0.291 0.561  4.76
4 Pu 0.146 0.291 0.939  4.76
5 In 0.804 0.609 0.750  0.07
6 In 0.196 0.391 0.250  0.07
7 S 0.952 0.903 0.884  -0.15
8 S 0.952 0.903 0.616  -0.15
9 S 0.313 0.627 0.429  -0.13
10 S 0.313 0.627 0.071  -0.13
11 S 0.753 0.506 0.250  -0.10
12 S 0.247 0.494 0.750  -0.10
13 S 0.687 0.373 0.571  -0.13
14 S 0.687 0.373 0.929  -0.13
15 S 0.048 0.097 0.116  -0.15
16 S 0.048 0.097 0.384  -0.15

Computed properties:
- ΔE_f (raw): -1.1280 eV/atom
- Total energy: -122.1 eV per cell
- Space-group type: No. 63

***

No. 16
Here is a relaxed Pu2InS crystal from Alexandria. Energies are from PBE.

a b c (Å): 3.763 3.763 8.834
angles (deg): 77.70 77.70 60.00
Site moments in Bohr magnetons follow the coordinates.
Positions (direct):
1 S 0.000 0.000 0.000  -0.12
2 In 0.500 0.500 0.500  0.02
3 Pu 0.734 0.734 0.798  5.48
4 Pu 0.266 0.266 0.202  5.48

Computed properties:
- ΔE_f (raw): -0.7416 eV/atom
- Total energy: -38.5 eV per cell
- Space-group type: No. 166
- ΔE to the lowest computed polymorph: 46 meV/atom

***

No. 17
Here is a relaxed Pu2In2S7 crystal from Alexandria. Energies are from PBE.

a b c (Å): 6.709 7.019 7.019
angles (deg): 106.14 96.67 96.67
Site moments in Bohr magnetons follow the coordinates.
Positions (direct):
1 Pu 0.500 0.311 0.689  -4.67
2 Pu 0.500 0.689 0.311  -4.67
3 In 0.889 0.256 0.256  -0.01
4 In 0.111 0.744 0.744  -0.01
5 S 0.275 0.934 0.540  0.14
6 S 0.725 0.460 0.066  0.14
7 S 0.725 0.066 0.460  0.14
8 S 0.275 0.540 0.934  0.14
9 S 0.000 0.000 0.000  0.20
10 S 0.743 0.590 0.590  0.16
11 S 0.257 0.410 0.410  0.16

Computed properties:
- ΔE_f (raw): -0.8001 eV/atom
- Total energy: -71.8 eV per cell
- Space-group type: No. 12

***

No. 18
Here is a relaxed PuIn3S6 crystal from Alexandria. Energies are from PBE.

a b c (Å): 3.921 11.353 10.848
angles (deg): 112.08 90.00 90.00
Site moments in Bohr magnetons follow the coordinates.
Positions (direct):
1 Pu 0.750 0.049 0.697  5.02
2 Pu 0.250 0.951 0.303  5.02
3 In 0.750 0.437 0.835  0.00
4 In 0.250 0.563 0.165  0.00
5 In 0.750 0.699 0.483  0.02
6 In 0.250 0.301 0.517  0.02
7 In 0.750 0.168 0.093  0.02
8 In 0.250 0.832 0.907  0.02
9 S 0.750 0.453 0.604  -0.01
10 S 0.250 0.547 0.396  -0.01
11 S 0.750 0.929 0.092  -0.04
12 S 0.250 0.071 0.908  -0.04
13 S 0.750 0.398 0.063  0.00
14 S 0.250 0.602 0.937  0.00
15 S 0.750 0.745 0.265  -0.04
16 S 0.250 0.255 0.735  -0.04
17 S 0.750 0.100 0.461  -0.11
18 S 0.250 0.900 0.539  -0.11
19 S 0.750 0.800 0.740  -0.02
20 S 0.250 0.200 0.260  -0.02

Computed properties:
- ΔE_f (raw): -0.7856 eV/atom
- Total energy: -110.3 eV per cell
- Space-group type: No. 11

***

No. 19
Here is a relaxed PuIn2S4 crystal from Alexandria. Energies are from PBE.

a b c (Å): 5.689 5.689 6.483
angles (deg): 90.00 90.00 90.00
Site moments in Bohr magnetons follow the coordinates.
Positions (direct):
1 Pu 0.000 0.000 0.000  5.46
2 In 0.500 0.000 0.500  0.04
3 In 0.000 0.500 0.500  0.04
4 S 0.734 0.266 0.736  -0.01
5 S 0.266 0.266 0.264  -0.01
6 S 0.266 0.734 0.736  -0.01
7 S 0.734 0.734 0.264  -0.01

Computed properties:
- ΔE_f (raw): -0.7175 eV/atom
- Total energy: -41.3 eV per cell
- Space-group type: No. 111

***

No. 20
Here is a relaxed Sr2PuInS5 crystal from Alexandria. Energies are from PBE.

a b c (Å): 4.079 8.966 12.668
angles (deg): 90.00 90.00 103.15
Site moments in Bohr magnetons follow the coordinates.
Positions (direct):
1 Sr 0.863 0.727 0.803  0.01
2 Sr 0.116 0.231 0.693  0.00
3 Sr 0.137 0.273 0.303  0.01
4 Sr 0.884 0.769 0.193  0.00
5 Pu 0.789 0.577 0.509  5.04
6 Pu 0.211 0.423 0.009  5.04
7 In 0.518 0.036 0.960  0.01
8 In 0.482 0.964 0.460  0.01
9 S 0.370 0.740 0.003  -0.02
10 S 0.688 0.376 0.866  -0.08
11 S 0.495 0.989 0.771  0.00
12 S 0.287 0.574 0.656  -0.08
13 S 0.947 0.894 0.562  -0.02
14 S 0.630 0.260 0.503  -0.02
15 S 0.312 0.624 0.366  -0.08
16 S 0.505 0.011 0.271  0.00
17 S 0.713 0.426 0.156  -0.08
18 S 0.053 0.106 0.062  -0.02

Computed properties:
- ΔE_f (raw): -1.5522 eV/atom
- Total energy: -110.1 eV per cell
- Space-group type: No. 36

***

No. 21
Here is a relaxed Pu3Tl3InS8 crystal from Alexandria. Energies are from PBE.

a b c (Å): 8.039 8.061 8.833
angles (deg): 117.11 90.00 119.91
Site moments in Bohr magnetons follow the coordinates.
Positions (direct):
1 Pu 0.500 0.000 0.500  -4.82
2 Pu 0.500 0.500 0.500  4.84
3 Pu 0.000 0.500 0.500  4.84
4 Tl 0.000 0.000 0.000  0.02
5 Tl 0.000 0.500 0.000  -0.01
6 Tl 0.500 0.500 0.000  -0.01
7 In 0.000 0.000 0.500  0.01
8 S 0.267 0.535 0.305  -0.04
9 S 0.733 0.465 0.695  -0.04
10 S 0.770 0.541 0.308  -0.10
11 S 0.230 0.459 0.692  -0.10
12 S 0.773 0.034 0.307  0.00
13 S 0.227 0.966 0.693  0.00
14 S 0.261 0.034 0.307  0.00
15 S 0.739 0.966 0.693  0.00

Computed properties:
- ΔE_f (raw): -1.0263 eV/atom
- Total energy: -101.2 eV per cell
- Space-group type: No. 12

***

No. 22
Here is a relaxed PuTl2InS5 crystal from Alexandria. Energies are from PBE.

a b c (Å): 4.033 9.329 13.523
angles (deg): 90.00 90.00 102.48
Site moments in Bohr magnetons follow the coordinates.
Positions (direct):
1 Pu 0.790 0.579 0.531  4.32
2 Pu 0.210 0.421 0.031  4.32
3 Tl 0.875 0.751 0.825  -0.03
4 Tl 0.103 0.206 0.663  -0.04
5 Tl 0.125 0.249 0.325  -0.03
6 Tl 0.897 0.794 0.163  -0.04
7 In 0.560 0.121 0.929  0.00
8 In 0.440 0.879 0.429  0.00
9 S 0.350 0.699 0.007  -0.22
10 S 0.699 0.398 0.898  -0.14
11 S 0.496 0.992 0.775  -0.06
12 S 0.283 0.565 0.655  -0.21
13 S 0.943 0.886 0.543  -0.07
14 S 0.650 0.301 0.507  -0.22
15 S 0.301 0.602 0.398  -0.14
16 S 0.504 0.008 0.275  -0.06
17 S 0.717 0.435 0.155  -0.21
18 S 0.057 0.114 0.043  -0.07

Computed properties:
- ΔE_f (raw): -0.6909 eV/atom
- Total energy: -97.3 eV per cell
- Space-group type: No. 36

***

No. 23
Here is a relaxed PuTl2InS4 crystal from Alexandria. Energies are from PBE.

a b c (Å): 3.992 7.019 7.831
angles (deg): 107.47 90.00 90.00
Site moments in Bohr magnetons follow the coordinates.
Positions (direct):
1 Pu 0.500 0.500 0.000  4.98
2 Tl 0.500 0.000 0.500  -0.01
3 Tl 0.000 0.500 0.500  0.01
4 In 0.000 0.000 0.000  0.04
5 S 0.500 0.222 0.193  -0.03
6 S 0.500 0.778 0.807  -0.03
7 S 0.000 0.267 0.802  -0.08
8 S 0.000 0.733 0.198  -0.08

Computed properties:
- ΔE_f (raw): -0.8203 eV/atom
- Total energy: -44.9 eV per cell
- Space-group type: No. 10